VASP calculation (PBE) on a relaxed structure of BaSrCeBiO6.

Cell: 6.1424 6.2700 8.7677 Å, 89.78 89.87 89.85°
Positions (direct):
Ba (0.0067, 0.0355, 0.2532)
Ba (0.9933, 0.9645, 0.7468)
Sr (0.4833, 0.5428, 0.2528)
Sr (0.5167, 0.4572, 0.7472)
Ce (0.0000, 0.5000, 0.5000)
Ce (0.5000, 0.0000, 0.0000)
Bi (0.0000, 0.5000, 0.0000)
Bi (0.5000, 0.0000, 0.5000)
O (0.1010, 0.5118, 0.7641)
O (0.1945, 0.7869, 0.4601)
O (0.2119, 0.7714, 0.0428)
O (0.2756, 0.2929, 0.0561)
O (0.2933, 0.3096, 0.4463)
O (0.4253, 0.0477, 0.7635)
O (0.5747, 0.9523, 0.2365)
O (0.7067, 0.6904, 0.5537)
O (0.7244, 0.7071, 0.9439)
O (0.7881, 0.2286, 0.9572)
O (0.8055, 0.2131, 0.5399)
O (0.8990, 0.4882, 0.2359)

Values from the calculation:
ΔE_f (raw): -24.86 eV/f.u.
energy above the lowest structure with this stoichiometry: 0.000 eV per atom